! RbSbSeBr2 (PBE, optimized geometry); values from VASP
&SYSTEM
  ibrav = 0, nat = 5, ntyp = 4
/
ATOMIC_SPECIES
Rb 85.47 Rb.upf
Br 79.90 Br.upf
Se 78.96 Se.upf
Sb 121.76 Sb.upf
ATOMIC_POSITIONS crystal
Rb 0.5000 0.5000 0.5000
Br 0.0000 0.5000 0.0000
Br 0.5000 0.0000 0.0000
Se 0.0000 0.0000 0.5000
Sb 0.0000 0.0000 0.0000
CELL_PARAMETERS angstrom
5.8118 0.0000 0.0000
0.0000 5.8118 0.0000
0.0000 0.0000 5.3603
! Electronic total energy in eV/cell: -15.91
! Total magnetization in μB/cell: 0.000
! Offset from the most stable computed form in eV per atom: 0.000
! Formation energy without anion corrections in meV per atom: -798.6